No. 1
{"formula": "MgH6Pd7", "functional": "PBE", "state": "optimized geometry", "cell": [[5.017, 0.000, 0.000], [-2.490, 4.356, 0.000], [-0.008, -2.859, 6.884]], "species": ["Mg", "H", "H", "H", "H", "H", "H", "Pd", "Pd", "Pd", "Pd", "Pd", "Pd", "Pd"], "fractional_positions": [[0.000, 0.000, 0.000], [0.070, 0.798, 0.216], [0.275, 0.861, 0.782], [0.425, 0.490, 0.212], [0.583, 0.505, 0.785], [0.727, 0.152, 0.213], [0.918, 0.200, 0.784], [0.116, 0.551, 0.327], [0.216, 0.113, 0.670], [0.436, 0.215, 0.329], [0.558, 0.777, 0.671], [0.665, 0.334, 0.999], [0.778, 0.894, 0.328], [0.894, 0.455, 0.670]], "dos_at_fermi_per_ev_cell": 4.15, "m_tot_mub_per_fu": 0.00, "energy_ev_per_atom": -4.32}

No. 2
{"formula": "MgH6Pd3", "functional": "PBE", "state": "optimized geometry", "cell": [[7.293, 0.000, 0.000], [0.000, 3.217, 0.000], [-1.939, 0.000, 7.225]], "species": ["Mg", "Mg", "H", "H", "H", "H", "H", "H", "H", "H", "H", "H", "H", "H", "Pd", "Pd", "Pd", "Pd", "Pd", "Pd"], "fractional_positions": [[0.210, 0.250, 0.097], [0.790, 0.750, 0.903], [0.079, 0.250, 0.458], [0.115, 0.750, 0.857], [0.209, 0.750, 0.262], [0.273, 0.250, 0.716], [0.451, 0.750, 0.099], [0.469, 0.750, 0.611], [0.531, 0.250, 0.389], [0.549, 0.250, 0.901], [0.727, 0.750, 0.284], [0.791, 0.250, 0.738], [0.885, 0.250, 0.143], [0.921, 0.750, 0.542], [0.018, 0.250, 0.708], [0.329, 0.250, 0.499], [0.378, 0.750, 0.856], [0.622, 0.250, 0.144], [0.671, 0.750, 0.501], [0.982, 0.750, 0.292]], "dos_at_fermi_per_ev_cell": 2.06, "m_tot_mub_per_fu": 0.00, "relative_energy_mev_per_atom": 64}

No. 3
{"formula": "Mg2HPd8", "functional": "PBE", "state": "optimized geometry", "cell": [[3.493, -6.729, 0.000], [3.493, 6.729, 0.000], [-2.645, 0.000, 3.399]], "species": ["Mg", "Mg", "H", "Pd", "Pd", "Pd", "Pd", "Pd", "Pd", "Pd", "Pd"], "fractional_positions": [[0.195, 0.805, 0.000], [0.805, 0.195, 0.000], [0.753, 0.753, 0.008], [0.005, 0.005, 0.990], [0.143, 0.354, 0.744], [0.297, 0.698, 0.497], [0.354, 0.143, 0.744], [0.493, 0.493, 0.481], [0.638, 0.857, 0.252], [0.698, 0.297, 0.497], [0.857, 0.638, 0.252]], "dos_at_fermi_per_ev_cell": 7.61, "m_tot_mub_per_fu": 0.00, "energy_ev_per_atom": -4.71}